Computed, not measured: a geometry-optimized Ni7Sn2 structure at the PBE level of DFT.

Computed properties:
The calculation puts the electronic total energy at -4.83 eV per atom. The calculation puts the theoretical density at 5.41 g/cm³.

a = 2.7949 Å, b = 2.7949 Å, c = 29.3877 Å
α = 90.00°, β = 90.00°, γ = 120.00°
Last column: nearest neighbours and their distance in Å.
Space group P-3m1 (No. 164)
Asymmetric unit:
Ni  0.0000  0.0000  0.0000  6 Ni 2.47
Ni  0.0000  0.0000  0.1906  3 Ni 2.47, 3 Sn 2.70
Ni  0.3333  0.6667  0.1271  6 Ni 2.46-2.47
Ni  0.3333  0.6667  0.9362  6 Ni 2.46-2.47
Sn  0.3333  0.6667  0.7356  3 Ni 2.70, 6 Sn 2.79